# 1
A geometry-optimized ZrInSbI2 structure. Source: the Alexandria database, functional PBE.

a = 5.7916 Å, b = 5.7916 Å, c = 5.6780 Å
α = 90.00°, β = 90.00°, γ = 90.00°
Closest atoms and distances in Å follow each position.
Space group P4/mmm (No. 123)
Asymmetric unit:
Zr  0.0000  0.0000  0.0000 (multiplicity 1)  2 Sb 2.84, 4 I 2.90
In  0.5000  0.5000  0.5000 (multiplicity 1)  8 I 4.06, 4 Sb 4.10
Sb  0.0000  0.0000  0.5000 (multiplicity 1)  2 Zr 2.84
I  0.0000  0.5000  0.0000 (multiplicity 2)  2 Zr 2.90

Computed properties:
E above lowest polymorph ... 0 meV per atom

---

# 2
A geometry-optimized ZrInSbI2 structure. Source: the Alexandria database, functional PBE.

a = 5.7246 Å, b = 5.7246 Å, c = 5.7143 Å
α = 90.00°, β = 90.00°, γ = 90.00°
Closest atoms and distances in Å follow each position.
Space group P4/mmm (No. 123)
Asymmetric unit:
Zr  0.0000  0.0000  0.0000 (multiplicity 1)  8 I 4.04, 4 Sb 4.05
In  0.5000  0.5000  0.5000 (multiplicity 1)  2 Sb 2.86, 4 I 2.86
Sb  0.5000  0.5000  0.0000 (multiplicity 1)  2 In 2.86
I  0.0000  0.5000  0.5000 (multiplicity 2)  2 In 2.86

Computed properties:
E above lowest polymorph ... 872 meV per atom

---

# 3
A geometry-optimized ZrInSbI2 structure. Source: the Alexandria database, functional PBE.

a = 5.6581 Å, b = 5.6581 Å, c = 5.9468 Å
α = 90.00°, β = 90.00°, γ = 90.00°
Closest atoms and distances in Å follow each position.
Space group P4/mmm (No. 123)
Asymmetric unit:
Zr  0.0000  0.0000  0.0000 (multiplicity 1)  2 In 2.97
In  0.0000  0.0000  0.5000 (multiplicity 1)  4 I 2.83, 2 Zr 2.97
Sb  0.5000  0.5000  0.0000 (multiplicity 1)  4 Zr 4.00, 8 I 4.10
I  0.0000  0.5000  0.5000 (multiplicity 2)  2 In 2.83

Computed properties:
E above lowest polymorph ... 1020 meV per atom

---

# 4
A geometry-optimized ScIn3I structure. Source: the Alexandria database, functional PBE.

a = 5.8338 Å, b = 5.8338 Å, c = 5.8338 Å
α = 90.00°, β = 90.00°, γ = 90.00°
Closest atoms and distances in Å follow each position.
Space group Pm-3m (No. 221)
Asymmetric unit:
Sc  0.0000  0.0000  0.0000 (multiplicity 1)  6 In 2.92
In  0.0000  0.0000  0.5000 (multiplicity 3)  2 Sc 2.92
I  0.5000  0.5000  0.5000 (multiplicity 1)  12 In 4.13

Computed properties:
E above lowest polymorph ... 0 meV per atom

---

# 5
A geometry-optimized ScIn4I7 structure. Source: the Alexandria database, functional PBE.

a = 22.4486 Å, b = 5.6626 Å, c = 8.3000 Å
α = 90.00°, β = 107.14°, γ = 90.00°
Closest atoms and distances in Å follow each position.
Space group C2/m (No. 12)
Asymmetric unit:
Sc  0.0000  0.0000  0.0000 (multiplicity 2)  6 I 2.83-2.90
In  0.0765  0.5000  0.6407 (multiplicity 4)  3 I 3.20-3.47, 1 In 3.54
In  0.1833  0.5000  0.2640 (multiplicity 4)  3 I 3.28-3.48
I  0.0000  0.5000  0.0000 (multiplicity 2)  2 Sc 2.83
I  0.0781  0.0000  0.3480 (multiplicity 4)  1 Sc 2.90
I  0.1116  0.0000  0.8931 (multiplicity 4)  1 Sc 2.89
I  0.2223  0.5000  0.6767 (multiplicity 4)  4 In 3.20-3.48

---

# 6
A geometry-optimized Sc2InI structure. Source: the Alexandria database, functional PBE.

a = 6.1467 Å, b = 6.1467 Å, c = 14.9988 Å
α = 90.00°, β = 90.00°, γ = 90.00°
Closest atoms and distances in Å follow each position.
Space group I-42d (No. 122)
Asymmetric unit:
Sc  0.2198  0.2500  0.1250 (multiplicity 8)  2 In 2.78, 2 I 2.97
In  0.0000  0.0000  0.0000 (multiplicity 4)  4 Sc 2.78
I  0.0000  0.0000  0.5000 (multiplicity 4)  4 Sc 2.97

Computed properties:
E above lowest polymorph ... 313 meV per atom

---

Sequential calculated total energy output: -3.89, -3.02, -2.87, -2.91, -3.02, -4.13 eV per atom